This record from Alexandria via LeMat-Bulk describes a geometry-optimized HoAsIO4 structure. The functional is PBE.

The structure belongs to space group C2/m (No. 12); the cell edges are 11.805, 6.356 and 6.768 Å and the angles 90.00°, 102.19° and 90.00°. The asymmetric unit holds Ho at (0.200, 0.000, 0.329), As at (0.134, 0.000, 0.759), I at (0.034, 0.500, 0.200), O at (0.012, 0.000, 0.273), O at (0.182, 0.206, 0.625) and O at (0.200, 0.000, 0.007).

Its total magnetization is 0.000 μB/f.u. For the calculated density, the calculation gives 5.764 g cm⁻³. The value obtained for the uncorrected formation energy is -1871 meV per atom.